Below is a relaxed structure of Cs2BiIBr6, with properties calculated at the PBE level.

Properties
* DOS at the Fermi energy: 0.42 states/eV per atom
* SG: I4/mmm (139)
* E_form (uncorrected): -0.96 eV/atom

Cell: 8.5813 8.5813 8.5813 Å, 115.51 115.51 97.97°
Sites, in units of the cell vectors:
Cs1 0.2500 0.7500 0.5000
Cs2 0.7500 0.2500 0.5000
Bi1 0.0000 0.0000 0.0000
I1 0.5000 0.5000 0.0000
Br1 0.2190 0.2190 0.4380
Br2 0.2190 0.7810 0.0000
Br3 0.2568 0.2568 0.0000
Br4 0.7432 0.7432 0.0000
Br5 0.7810 0.2190 0.0000
Br6 0.7810 0.7810 0.5620

Below is a relaxed structure of Cs2BiI6Br, with properties calculated at the PBE level.

Properties
* DOS at the Fermi energy: 0.21 states/eV per atom
* SG: I4/mmm (139)
* E_form (uncorrected): -0.74 eV/atom

Cell: 8.8787 8.8787 8.8787 Å, 116.01 116.01 97.07°
Sites, in units of the cell vectors:
Cs1 0.2500 0.7500 0.5000
Cs2 0.7500 0.2500 0.5000
Bi1 0.0000 0.0000 0.0000
I1 0.2296 0.2296 0.4592
I2 0.2296 0.7704 0.0000
I3 0.2605 0.2605 0.0000
I4 0.7395 0.7395 0.0000
I5 0.7704 0.2296 0.0000
I6 0.7704 0.7704 0.5408
Br1 0.5000 0.5000 0.0000

Below is a relaxed structure of CsBiI2Br, with properties calculated at the PBE level.

Properties
* DOS at the Fermi energy: 0.04 states/eV per atom
* SG: P4/mmm (123)
* E_form (uncorrected): -0.88 eV/atom

Cell: 6.3331 6.3331 5.9551 Å, 90.00 90.00 90.00°
Sites, in units of the cell vectors:
Cs1 0.0000 0.0000 0.0000
Bi1 0.5000 0.5000 0.5000
I1 0.0000 0.5000 0.5000
I2 0.5000 0.0000 0.5000
Br1 0.5000 0.5000 0.0000

Below is a relaxed structure of Cs2InBiBr6, with properties calculated at the PBE level.

Properties
* SG: Fm-3m (225)
* polymorph energy (0 for the lowest one): 0.24 kcal/mol of atoms
* E_form (uncorrected): -1.19 eV/atom

Cell: 8.4503 8.4503 8.4503 Å, 60.00 60.00 60.00°
Sites, in units of the cell vectors:
Cs1 0.2500 0.2500 0.2500
Cs2 0.7500 0.7500 0.7500
In1 0.0000 0.0000 0.0000
Bi1 0.5000 0.5000 0.5000
Br1 0.2585 0.2585 0.7415
Br2 0.2585 0.7415 0.2585
Br3 0.2585 0.7415 0.7415
Br4 0.7415 0.2585 0.2585
Br5 0.7415 0.2585 0.7415
Br6 0.7415 0.7415 0.2585

Below is a relaxed structure of CsIn2BiBr6, with properties calculated at the PBE level.

Properties
* DOS at the Fermi energy: 0.00 states/eV per atom
* SG: P1 (1)
* E_form (uncorrected): -0.93 eV/atom

Cell: 8.2631 8.2799 8.7678 Å, 90.07 118.10 119.93°
Sites, in units of the cell vectors:
Cs1 0.0000 0.0000 0.0000
In1 0.5760 0.2880 0.8632
In2 0.6083 0.8047 0.4113
Bi1 0.9653 0.4827 0.4474
Br1 0.0894 0.4426 0.1929
Br2 0.1053 0.2607 0.6604
Br3 0.4000 0.8447 0.6598
Br4 0.5473 0.1049 0.1924
Br5 0.7503 0.6457 0.1921
Br6 0.8148 0.5560 0.6595

Below is a relaxed structure of Cs2InBiBr6, with properties calculated at the PBE level.

Properties
* SG: P2_1/c (14)
* polymorph energy (0 for the lowest one): 0.00 kcal/mol of atoms
* E_form (uncorrected): -1.20 eV/atom

Cell: 8.2844 8.5782 14.5142 Å, 90.00 124.76 90.00°
Sites, in units of the cell vectors:
Cs1 0.2340 0.0579 0.2496
Cs2 0.2340 0.4421 0.7496
Cs3 0.7660 0.5579 0.2504
Cs4 0.7660 0.9421 0.7504
In1 0.5000 0.0000 0.0000
In2 0.5000 0.5000 0.5000
Bi1 0.0000 0.0000 0.5000
Bi2 0.0000 0.5000 0.0000
Br1 0.1571 0.2215 0.9646
Br2 0.1571 0.2785 0.4646
Br3 0.2456 0.6943 0.9638
Br4 0.2456 0.8057 0.4638
Br5 0.3063 0.0120 0.7379
Br6 0.3063 0.4880 0.2379
Br7 0.6937 0.5120 0.7621
Br8 0.6937 0.9880 0.2621
Br9 0.7544 0.1943 0.5362
Br10 0.7544 0.3057 0.0362
Br11 0.8429 0.7215 0.5354
Br12 0.8429 0.7785 0.0354

Below is a relaxed structure of Cs2KBiBr6, with properties calculated at the PBE level.

Properties
* DOS at the Fermi energy: 0.00 states/eV per atom
* SG: Fm-3m (225)
* polymorph energy (0 for the lowest one): 0.53 kcal/mol of atoms
* E_form (uncorrected): -1.39 eV/atom

Cell: 8.5307 8.5307 8.5307 Å, 60.00 60.00 60.00°
Sites, in units of the cell vectors:
Cs1 0.2500 0.2500 0.2500
Cs2 0.7500 0.7500 0.7500
K1 0.0000 0.0000 0.0000
Bi1 0.5000 0.5000 0.5000
Br1 0.2625 0.2625 0.7375
Br2 0.2625 0.7375 0.2625
Br3 0.2625 0.7375 0.7375
Br4 0.7375 0.2625 0.2625
Br5 0.7375 0.2625 0.7375
Br6 0.7375 0.7375 0.2625

Below is a relaxed structure of CsK2BiBr6, with properties calculated at the PBE level.

Properties
* DOS at the Fermi energy: 0.00 states/eV per atom
* SG: R3 (146)
* E_form (uncorrected): -1.37 eV/atom

Cell: 8.7712 8.7712 8.7712 Å, 56.60 56.60 56.60°
Sites, in units of the cell vectors:
Cs1 0.0000 0.0000 0.0000
K1 0.2011 0.2011 0.2011
K2 0.7186 0.7186 0.7186
Bi1 0.5179 0.5179 0.5179
Br1 0.1616 0.4257 0.7540
Br2 0.3449 0.8816 0.5747
Br3 0.4257 0.7540 0.1616
Br4 0.5747 0.3449 0.8816
Br5 0.7540 0.1616 0.4257
Br6 0.8816 0.5747 0.3449